(1)
# LaDyHoEr

A geometry-optimized LaDyHoEr structure (PBE, the Alexandria database).

Lattice parameters (Å, degrees): 3.586 3.584 11.850 90.00 98.70 119.98
Fractional coordinates of all 4 atoms:
Ho1 0.132 0.964 0.108
Er1 0.302 0.549 0.867
La1 0.969 0.383 0.368
Dy1 0.475 0.135 0.626

Values from the calculation:
Calculated volume ... 32.5 A^3/atom
E_form ... 0.028 eV per atom
Crystal system ... monoclinic
Polymorph energy (0 for the lowest one) ... 0 meV/atom
Magnetization ... 0.0 Bohr magnetons per cell
DFT total energy ... -4.64 eV/atom


(2)
# La2Dy2HoEr

A geometry-optimized La2Dy2HoEr structure (PBE, the Alexandria database).

Lattice parameters (Å, degrees): 5.685 7.067 9.857 90.00 90.00 90.00
Fractional coordinates of all 12 atoms:
Er1 0.000 0.507 0.500
La1 0.500 0.508 0.000
La2 0.500 0.008 0.000
Dy1 0.500 0.758 0.665
La3 0.000 0.758 0.822
Ho1 0.500 0.257 0.658
Dy2 0.000 0.758 0.167
Dy3 0.500 0.258 0.335
Dy4 0.000 0.258 0.833
Er2 0.000 0.007 0.500
La4 0.000 0.258 0.178
Ho2 0.500 0.757 0.342

Values from the calculation:
Calculated volume ... 33.0 A^3/atom
E_form ... 0.068 eV per atom
Crystal system ... orthorhombic
Magnetization ... 0.0 Bohr magnetons per cell
DFT total energy ... -4.63 eV/atom


(3)
# La2Dy5HoEr

A geometry-optimized La2Dy5HoEr structure (PBE, the Alexandria database).

Lattice parameters (Å, degrees): 5.640 10.352 10.705 90.00 90.00 105.81
Fractional coordinates of all 18 atoms:
Dy1 0.388 0.775 0.021
La1 0.887 0.775 0.234
Dy2 0.016 0.033 0.023
La2 0.116 0.232 0.319
Dy3 0.700 0.401 0.206
Dy4 0.519 0.039 0.240
La3 0.884 0.768 0.819
Dy5 0.481 0.961 0.740
Dy6 0.281 0.562 0.308
Dy7 0.612 0.225 0.521
Dy8 0.984 0.967 0.523
Er1 0.412 0.824 0.461
Dy9 0.719 0.438 0.808
Dy10 0.300 0.599 0.706
Ho1 0.800 0.599 0.511
La4 0.113 0.225 0.734
Er2 0.588 0.176 0.961
Ho2 0.200 0.401 0.011

Values from the calculation:
Calculated volume ... 33.4 A^3/atom
E_form ... 0.138 eV per atom
Crystal system ... orthorhombic
Magnetization ... 0.0 Bohr magnetons per cell
DFT total energy ... -4.53 eV/atom


(4)
# La4Dy2HoEr2

A geometry-optimized La4Dy2HoEr2 structure (PBE, the Alexandria database).

Lattice parameters (Å, degrees): 5.151 8.120 8.058 107.43 90.00 108.49
Fractional coordinates of all 9 atoms:
La1 0.554 0.107 0.329
Er1 0.332 0.665 0.000
La2 0.446 0.893 0.671
Dy1 0.112 0.224 0.672
La3 0.776 0.552 0.668
La4 0.224 0.448 0.332
Ho1 0.000 0.000 0.000
Er2 0.668 0.335 0.000
Dy2 0.888 0.776 0.328

Values from the calculation:
Calculated volume ... 33.7 A^3/atom
E_form ... 0.033 eV per atom
Crystal system ... monoclinic
Magnetization ... 0.0 Bohr magnetons per cell
DFT total energy ... -4.70 eV/atom


(5)
# LaDyHoEr3

A geometry-optimized LaDyHoEr3 structure (PBE, the Alexandria database).

Lattice parameters (Å, degrees): 5.598 10.167 7.132 90.72 90.00 105.98
Fractional coordinates of all 12 atoms:
Er1 0.779 0.557 0.760
Er2 0.524 0.048 0.726
Ho1 0.651 0.302 0.453
Er3 0.221 0.443 0.240
Dy1 0.053 0.106 0.281
Er4 0.476 0.952 0.274
Er5 0.163 0.327 0.722
Er6 0.837 0.673 0.278
La1 0.643 0.286 0.030
La2 0.357 0.714 0.970
Ho2 0.349 0.698 0.547
Dy2 0.947 0.894 0.719

Values from the calculation:
Calculated volume ... 32.5 A^3/atom
E_form ... 0.217 eV per atom
Crystal system ... monoclinic
Magnetization ... 0.0 Bohr magnetons per cell
DFT total energy ... -4.42 eV/atom


(6)
# LaDy2Ho2Er2

A geometry-optimized LaDy2Ho2Er2 structure (PBE, the Alexandria database).

Lattice parameters (Å, degrees): 3.485 12.101 11.739 150.85 90.00 98.28
Fractional coordinates of all 7 atoms:
Dy1 0.704 0.408 0.040
Ho1 0.406 0.812 0.588
Er1 0.344 0.688 0.761
Ho2 0.594 0.188 0.412
Er2 0.656 0.312 0.239
La1 0.000 0.000 0.500
Dy2 0.296 0.592 0.960

Values from the calculation:
Calculated volume ... 32.9 A^3/atom
E_form ... 0.165 eV per atom
Crystal system ... monoclinic
Magnetization ... 0.0 Bohr magnetons per cell
DFT total energy ... -4.47 eV/atom


(7)
# La2DyHoEr2

A geometry-optimized La2DyHoEr2 structure (PBE, the Alexandria database).

Lattice parameters (Å, degrees): 5.684 7.066 9.841 90.00 90.00 90.00
Fractional coordinates of all 12 atoms:
La1 0.000 0.258 0.178
Ho1 0.000 0.507 0.500
La2 0.000 0.758 0.822
La3 0.500 0.008 0.000
Ho2 0.000 0.007 0.500
Er1 0.000 0.758 0.167
Dy1 0.500 0.757 0.341
Er2 0.500 0.258 0.335
Dy2 0.500 0.257 0.659
Er3 0.500 0.758 0.665
Er4 0.000 0.258 0.833
La4 0.500 0.508 0.000

Values from the calculation:
Calculated volume ... 32.9 A^3/atom
E_form ... 0.072 eV per atom
Crystal system ... orthorhombic
Magnetization ... 0.0 Bohr magnetons per cell
DFT total energy ... -4.62 eV/atom


(8)
# LaDy2Ho5Er

A geometry-optimized LaDy2Ho5Er structure (PBE, the Alexandria database).

Lattice parameters (Å, degrees): 8.961 8.961 9.681 117.57 117.57 90.00
Fractional coordinates of all 18 atoms:
Dy1 0.612 0.112 0.000
Ho1 0.665 0.165 0.739
Ho2 0.835 0.926 0.261
Ho3 0.574 0.665 0.739
Ho4 0.926 0.426 0.261
Dy2 0.388 0.888 0.000
Ho5 0.000 0.000 0.000
La1 0.750 0.750 0.500
Dy3 0.888 0.612 0.000
Dy4 0.112 0.388 0.000
La2 0.250 0.250 0.500
Er1 0.250 0.750 0.500
Er2 0.750 0.250 0.500
Ho6 0.165 0.074 0.739
Ho7 0.074 0.574 0.739
Ho8 0.426 0.335 0.261
Ho9 0.335 0.835 0.261
Ho10 0.500 0.500 0.000

Values from the calculation:
Calculated volume ... 32.7 A^3/atom
E_form ... 0.288 eV per atom
Crystal system ... tetragonal
Magnetization ... 0.0 Bohr magnetons per cell
DFT total energy ... -4.33 eV/atom